# InNi2Te

A relaxed structure of InNi2Te (PBE-GGA, Alexandria).

Results
Energy relative to the lowest polymorph listed for this composition = 0.000 eV/atom
Total moment = 0.0 μB per formula unit
Energy relative to the elements, uncorrected = -176 meV per atom
Uncorrected energy = -4.54 eV/atom

Cell: 8.0603 6.8864 5.1627 Å, 90.00 90.00 90.00°
Space group Pbcm (No. 57)
Asymmetric unit:
In  0.1182  0.0942  0.2500
Ni  0.1372  0.7500  0.0000
Ni  0.3899  0.2500  0.0000
Te  0.3653  0.5733  0.2500